The following is a PBE-GGA calculation of a geometry-optimized TiPd2Pt3 structure, from Alexandria.

**Distance to the lowest polymorph of the same formula**: 0.53 eV per formula unit
**DFT formation energy**: -36.2 kJ/mol of atoms
**DOS(E_F)**: 11.90 states/eV/cell
**Energy**: -77.31 eV per cell

abc: 5.0807 5.4884 7.3648
angles: 111.88 90.00 90.00
Atoms (fractional coordinates):
Ti1 0.7500 0.3457 0.6913
Pt1 0.7500 0.9281 0.3596
Pt2 0.2500 0.5685 0.6404
Pt3 0.7500 0.8495 0.6991
Pd1 0.5000 0.7476 0.0000
Pd2 0.0000 0.7476 0.0000
Pd3 0.0000 0.2524 0.0000
Pd4 0.5000 0.2524 0.0000
Pt4 0.7500 0.4315 0.3596
Ti2 0.2500 0.6543 0.3087
Pt5 0.2500 0.1505 0.3009
Pt6 0.2500 0.0719 0.6404



The following is a PBE-GGA calculation of a geometry-optimized Na3ErU3N8 structure, from Alexandria.

**E_form (uncorrected)**: -1.058 eV per atom
**Energy**: -124.86 eV per cell

abc: 6.9627 6.9625 6.9695
angles: 119.98 90.00 120.00
Atoms (fractional coordinates):
N1 0.2705 0.5409 0.3115
N2 0.7660 0.0648 0.3309
Er1 0.0000 0.0000 0.5000
U1 0.5000 0.5000 0.5000
U2 0.5000 0.0000 0.5000
N3 0.7011 0.9352 0.6691
Na1 0.5000 0.5000 0.0000
U3 0.0000 0.5000 0.5000
N4 0.2340 0.4680 0.6691
Na2 0.0000 0.5000 0.0000
N5 0.2340 0.9352 0.6691
N6 0.7660 0.5320 0.3309
Na3 0.0000 0.0000 0.0000
N7 0.2989 0.0648 0.3309
N8 0.7295 0.4591 0.6885



The following is a PBE-GGA calculation of a geometry-optimized Ca2TbAl3Ga12 structure, from Alexandria.

**DFT formation energy**: -8.2 kJ/mol of atoms
**DOS(E_F)**: 6.81 states/eV/cell
**Energy**: -57.72 eV per cell

abc: 10.6651 10.6651 10.6651
angles: 37.28 37.28 37.28
Atoms (fractional coordinates):
Ga1 0.5458 0.1307 0.1307
Ga2 0.4542 0.8693 0.8693
Al1 0.0000 0.0000 0.5000
Ga3 0.8693 0.8693 0.4542
Tb1 0.0000 0.0000 0.0000
Al2 0.5000 0.0000 0.0000
Ca1 0.6386 0.6386 0.6386
Ga4 0.1307 0.5458 0.1307
Ga5 0.8693 0.4542 0.8693
Ga6 0.4125 0.4125 0.8120
Ga7 0.5875 0.5875 0.1880
Ca2 0.3614 0.3614 0.3614
Ga8 0.4125 0.8120 0.4125
Ga9 0.1307 0.1307 0.5458
Ga10 0.1880 0.5875 0.5875
Ga11 0.5875 0.1880 0.5875
Al3 0.0000 0.5000 0.0000
Ga12 0.8120 0.4125 0.4125



The following is a PBE-GGA calculation of a geometry-optimized Ba8GeRh2 structure, from Alexandria.

**DFT formation energy**: -3.2 kJ/mol of atoms
**DOS(E_F)**: 10.97 states/eV/cell
**Energy**: -35.06 eV per cell

abc: 7.6910 9.4473 9.4464
angles: 120.00 90.03 89.95
Atoms (fractional coordinates):
Ba1 0.2696 0.6669 0.3332
Ba2 0.7616 0.3342 0.1672
Ba3 0.2383 0.1670 0.8329
Ba4 0.2384 0.6658 0.8328
Ba5 0.7616 0.8326 0.6659
Rh1 0.8991 0.6666 0.3333
Ba6 0.7304 0.3331 0.6667
Ba7 0.7617 0.8331 0.1671
Ge1 0.0000 0.0000 0.0000
Rh2 0.1009 0.3334 0.6667
Ba8 0.2384 0.1674 0.3341



The following is a PBE-GGA calculation of a geometry-optimized Er4Ir2Pd structure, from Alexandria.

**Distance to the lowest polymorph of the same formula**: 1.05 eV per formula unit
**DFT formation energy**: -72.0 kJ/mol of atoms
**DOS(E_F)**: 4.32 states/eV/cell
**Energy**: -46.39 eV per cell

abc: 4.1982 7.1522 7.1859
angles: 119.10 106.98 90.00
Atoms (fractional coordinates):
Er1 0.1404 0.7927 0.2808
Pd1 0.0000 0.0000 0.0000
Er2 0.8596 0.2073 0.7192
Er3 0.6275 0.3151 0.2550
Ir1 0.2379 0.2390 0.4758
Ir2 0.7621 0.7610 0.5242
Er4 0.3725 0.6849 0.7450



The following is a PBE-GGA calculation of a geometry-optimized ScHIr2I structure, from Alexandria.

**DOS(E_F)**: 3.04 states/eV/cell
**Energy**: -25.08 eV per cell

abc: 5.0506 3.4231 5.0506
angles: 90.00 90.00 90.00
Atoms (fractional coordinates):
I1 0.5000 0.5000 0.5000
Ir1 0.0000 0.0000 0.5000
H1 0.0000 0.5000 0.0000
Ir2 0.5000 0.0000 0.0000
Sc1 0.0000 0.0000 0.0000



The following is a PBE-GGA calculation of a geometry-optimized CeSm2ReN4 structure, from Alexandria.

**E_form (uncorrected)**: -0.942 eV per atom
**DOS(E_F)**: 11.70 states/eV/cell
**Energy**: -137.32 eV per cell

abc: 3.4870 6.1698 11.9459
angles: 90.00 90.00 106.41
Site moments in Bohr magnetons follow the coordinates.
Atoms (fractional coordinates):
N1 0.2697 0.5395 0.1350  0.00
N2 0.2697 0.5395 0.3650  0.00
N3 0.5614 0.1228 0.2500  -0.01
N4 0.7303 0.4605 0.8650  0.00
Sm1 0.3681 0.7363 0.5411  0.01
N5 0.0000 0.0000 0.0000  -0.01
Re1 0.8533 0.7066 0.7500  0.09
Ce1 0.8855 0.7711 0.2500  0.46
Re2 0.1467 0.2934 0.2500  0.09
Sm2 0.6319 0.2637 0.0411  0.01
Ce2 0.1145 0.2289 0.7500  0.46
Sm3 0.3681 0.7363 0.9589  0.01
N6 0.7303 0.4605 0.6350  0.00
Sm4 0.6319 0.2637 0.4589  0.01
N7 0.4386 0.8772 0.7500  -0.01
N8 0.0000 0.0000 0.5000  -0.01



The following is a PBE-GGA calculation of a geometry-optimized La2CdPb structure, from Alexandria.

**DFT formation energy**: -23.7 kJ/mol of atoms
**DOS(E_F)**: 5.24 states/eV/cell
**Energy**: -15.46 eV per cell

abc: 9.9493 9.9493 9.9493
angles: 23.53 23.53 23.53
Atoms (fractional coordinates):
La1 0.5005 0.5005 0.5005
La2 0.9995 0.9995 0.9995
Cd1 0.7500 0.7500 0.7500
Pb1 0.2500 0.2500 0.2500



The following is a PBE-GGA calculation of a geometry-optimized La2MgSn3Rh4 structure, from Alexandria.

**DFT formation energy**: -70.6 kJ/mol of atoms
**DOS(E_F)**: 6.66 states/eV/cell
**Energy**: -60.18 eV per cell

abc: 4.4202 4.4202 11.1701
angles: 90.00 90.00 90.00
Atoms (fractional coordinates):
Rh1 0.5000 0.0000 0.6365
Rh2 0.5000 0.5000 0.0000
La1 0.0000 0.5000 0.7527
Rh3 0.0000 0.0000 0.0000
Sn1 0.0000 0.0000 0.5000
Rh4 0.0000 0.5000 0.3635
Sn2 0.5000 0.0000 0.8716
Mg1 0.5000 0.5000 0.5000
La2 0.5000 0.0000 0.2473
Sn3 0.0000 0.5000 0.1284



The following is a PBE-GGA calculation of a geometry-optimized CeDy2Y structure, from Alexandria.

**Distance to the lowest polymorph of the same formula**: 0.13 eV per formula unit
**DFT formation energy**: 5.9 kJ/mol of atoms
**DOS(E_F)**: 7.54 states/eV/cell
**Energy**: -21.36 eV per cell

abc: 3.5329 3.5329 10.0018
angles: 90.00 90.00 90.00
Site moments in Bohr magnetons follow the coordinates.
Atoms (fractional coordinates):
Dy1 0.0000 0.0000 0.2437  0.01
Y1 0.5000 0.5000 0.5000  -0.03
Dy2 0.0000 0.0000 0.7563  0.01
Ce1 0.5000 0.5000 0.0000  0.52



The following is a PBE-GGA calculation of a geometry-optimized Cr2HgSb structure, from Alexandria.

**E_form (uncorrected)**: 0.451 eV per atom
**Distance to the lowest polymorph of the same formula**: 0.65 eV per formula unit
**DOS(E_F)**: 2.38 states/eV/cell
**Energy**: -21.87 eV per cell

abc: 4.8365 4.8365 4.8365
angles: 60.00 60.00 60.00
Site moments in Bohr magnetons follow the coordinates.
Atoms (fractional coordinates):
Cr1 0.7500 0.7500 0.7500  3.72
Sb1 0.0000 0.0000 0.0000  -0.09
Hg1 0.5000 0.5000 0.5000  0.01
Cr2 0.2500 0.2500 0.2500  3.72